Computed, not measured: an optimized crystal structure of KInN2 at the GGA-PBE level of DFT.

The density of states at the Fermi level is 0.7734 states/eV per atom. As for the energy: -15.58 eV per formula unit. Its raw formation energy is 4.91 eV/f.u. As for the space group: R-3m, No. 166.

```
KInN2
1.0
-1.9623 7.1345 1.5441
1.7620 6.5852 3.2659
1.4511 7.3765 -0.7855
In N K
1 2 1
Direct
0.0000 0.0000 0.0000
0.9087 0.9087 0.9087
0.0913 0.0913 0.0913
0.5000 0.5000 0.5000
```